The following is a DFT calculation (GGA-PBE) of an optimized crystal structure of NaSrV.

Cell: 3.395 6.934 8.985 Å, 109.75 98.18 97.33°
Atoms (fractional coordinates):
Na1 0.000 0.000 0.000
Na2 0.127 0.575 0.135
Sr1 0.280 0.763 0.546
Sr2 0.391 0.341 0.708
V1 0.602 0.295 0.353
V2 0.797 0.059 0.360

Magnetization ... 0.0 μB/cell
Space group ... P1, No. 1
Energy of formation from the pure elements ... 56 kJ/mol of atoms
Calculated density ... 2773 kg/m³
Excess energy over the best structure of this formula in the dataset ... 190 meV/atom

The following is a DFT calculation (GGA-PBE) of an optimized crystal structure of DyHfIr2.

Cell: 3.320 3.320 6.881 Å, 90.00 90.00 90.00°
Atoms (fractional coordinates):
Dy1 0.000 0.000 0.000
Hf1 0.000 0.000 0.500
Ir1 0.500 0.500 0.275
Ir2 0.500 0.500 0.725

Magnetization ... 0.0 μB/cell
Space group ... P4/mmm, No. 123
Energy of formation from the pure elements ... -86 kJ/mol of atoms
Calculated density ... 15884 kg/m³

The following is a DFT calculation (GGA-PBE) of an optimized crystal structure of YCu4Sb.

Cell: 5.207 5.207 5.207 Å, 60.00 60.00 60.00°
Atoms (fractional coordinates):
Y1 0.000 0.000 0.000
Cu1 0.125 0.625 0.625
Cu2 0.625 0.125 0.625
Cu3 0.625 0.625 0.125
Cu4 0.625 0.625 0.625
Sb1 0.250 0.250 0.250

Magnetization ... 0.0 μB/cell
Raw formation energy ... -1.03 eV/f.u.
Space group ... F-43m, No. 216
Calculated density ... 7734 kg/m³

The following is a DFT calculation (GGA-PBE) of an optimized crystal structure of TaReBi3.

Cell: 5.309 5.309 5.309 Å, 90.00 90.00 90.00°
Atoms (fractional coordinates):
Ta1 0.000 0.000 0.000
Re1 0.500 0.500 0.500
Bi1 0.000 0.500 0.500
Bi2 0.500 0.000 0.500
Bi3 0.500 0.500 0.000

Magnetization ... 3.7 μB/cell
Space group ... Pm-3m, No. 221
Energy of formation from the pure elements ... 153 kJ/mol of atoms
Calculated density ... 11033 kg/m³
Excess energy over the best structure of this formula in the dataset ... 0 meV/atom

The following is a DFT calculation (GGA-PBE) of an optimized crystal structure of DyLu3.

Cell: 7.843 7.843 7.843 Å, 90.00 90.00 90.00°
Atoms (fractional coordinates):
Dy1 0.000 0.000 0.000
Dy2 0.000 0.500 0.500
Dy3 0.500 0.000 0.500
Dy4 0.500 0.500 0.000
Lu1 0.000 0.000 0.500
Lu2 0.000 0.500 0.000
Lu3 0.250 0.250 0.250
Lu4 0.250 0.250 0.750
Lu5 0.250 0.750 0.250
Lu6 0.250 0.750 0.750
Lu7 0.500 0.000 0.000
Lu8 0.500 0.500 0.500
Lu9 0.750 0.250 0.250
Lu10 0.750 0.250 0.750
Lu11 0.750 0.750 0.250
Lu12 0.750 0.750 0.750

Magnetization ... 0.0 μB/cell
Space group ... Fm-3m, No. 225
Energy of formation from the pure elements ... 13 kJ/mol of atoms
Calculated density ... 9463 kg/m³
Excess energy over the best structure of this formula in the dataset ... 134 meV/atom

The following is a DFT calculation (GGA-PBE) of an optimized crystal structure of NiAgOs2.

Cell: 2.766 2.766 7.578 Å, 90.00 90.00 90.00°
Atoms (fractional coordinates):
Ni1 0.000 0.000 0.000
Ag1 0.500 0.500 0.747
Os1 0.000 0.000 0.458
Os2 0.500 0.500 0.232

Magnetization ... 0.0 μB/cell
Space group ... P4mm, No. 99
Energy of formation from the pure elements ... 31 kJ/mol of atoms
Calculated density ... 15662 kg/m³
Excess energy over the best structure of this formula in the dataset ... 20 meV/atom

The following is a DFT calculation (GGA-PBE) of an optimized crystal structure of K2ZrFe.

Cell: 4.166 4.166 6.343 Å, 90.00 90.00 90.00°
Atoms (fractional coordinates):
K1 0.000 0.500 0.000
K2 0.500 0.000 0.000
Zr1 0.000 0.000 0.500
Fe1 0.500 0.500 0.500

Magnetization ... 0.5 μB/cell
Space group ... P4/mmm, No. 123
Energy of formation from the pure elements ... 107 kJ/mol of atoms
Calculated density ... 3399 kg/m³
Excess energy over the best structure of this formula in the dataset ... 559 meV/atom

The following is a DFT calculation (GGA-PBE) of an optimized crystal structure of Co2TcW.

Cell: 2.688 2.688 25.732 Å, 90.00 90.00 120.00°
Atoms (fractional coordinates):
Co1 0.000 0.000 0.000
Co2 0.000 0.000 0.258
Co3 0.333 0.667 0.667
Co4 0.333 0.667 0.924
Co5 0.667 0.333 0.333
Co6 0.667 0.333 0.591
Tc1 0.000 0.000 0.511
Tc2 0.333 0.667 0.177
Tc3 0.667 0.333 0.844
W1 0.000 0.000 0.750
W2 0.333 0.667 0.417
W3 0.667 0.333 0.084

Magnetization ... 7.3 μB/cell
Space group ... R3m, No. 160
Energy of formation from the pure elements ... 25 kJ/mol of atoms
Calculated density ... 12370 kg/m³
Excess energy over the best structure of this formula in the dataset ... 287 meV/atom

The following is a DFT calculation (GGA-PBE) of an optimized crystal structure of Rb2IClF6.

Cell: 7.050 7.050 7.050 Å, 60.00 60.00 60.00°
Atoms (fractional coordinates):
Rb1 0.250 0.250 0.250
Rb2 0.750 0.750 0.750
I1 0.000 0.000 0.000
Cl1 0.500 0.500 0.500
F1 0.203 0.203 0.797
F2 0.203 0.797 0.203
F3 0.203 0.797 0.797
F4 0.797 0.203 0.203
F5 0.797 0.203 0.797
F6 0.797 0.797 0.203

Magnetization ... 0.0 μB/cell
Raw formation energy ... -17.75 eV/f.u.
Space group ... Fm-3m, No. 225
Calculated density ... 2997 kg/m³
Excess energy over the best structure of this formula in the dataset ... 139 meV/atom

The following is a DFT calculation (GGA-PBE) of an optimized crystal structure of CaNdCd5.

Cell: 6.443 8.851 6.881 Å, 90.00 90.00 90.00°
Atoms (fractional coordinates):
Ca1 0.000 0.000 0.000
Ca2 0.500 0.500 0.000
Nd1 0.000 0.500 0.500
Nd2 0.500 0.000 0.500
Cd1 0.000 0.500 0.000
Cd2 0.250 0.250 0.258
Cd3 0.250 0.250 0.742
Cd4 0.250 0.750 0.258
Cd5 0.250 0.750 0.742
Cd6 0.500 0.000 0.000
Cd7 0.750 0.250 0.258
Cd8 0.750 0.250 0.742
Cd9 0.750 0.750 0.258
Cd10 0.750 0.750 0.742

Magnetization ... 0.0 μB/cell
Space group ... Cmmm, No. 65
Energy of formation from the pure elements ... -14 kJ/mol of atoms
Calculated density ... 6317 kg/m³

The following is a DFT calculation (GGA-PBE) of an optimized crystal structure of MnGaPt2.

Cell: 6.249 6.249 6.249 Å, 90.00 90.00 90.00°
Atoms (fractional coordinates):
Mn1 0.000 0.000 0.000
Mn2 0.000 0.500 0.500
Mn3 0.500 0.000 0.500
Mn4 0.500 0.500 0.000
Ga1 0.250 0.250 0.250
Ga2 0.250 0.750 0.750
Ga3 0.750 0.250 0.750
Ga4 0.750 0.750 0.250
Pt1 0.000 0.000 0.500
Pt2 0.000 0.500 0.000
Pt3 0.250 0.250 0.750
Pt4 0.250 0.750 0.250
Pt5 0.500 0.000 0.000
Pt6 0.500 0.500 0.500
Pt7 0.750 0.250 0.250
Pt8 0.750 0.750 0.750

Magnetization ... 14.9 μB/cell
Space group ... F-43m, No. 216
Energy of formation from the pure elements ... -29 kJ/mol of atoms
Calculated density ... 14012 kg/m³

The following is a DFT calculation (GGA-PBE) of an optimized crystal structure of K2AlCd.

Cell: 3.474 5.651 7.061 Å, 90.00 92.20 90.00°
Atoms (fractional coordinates):
K1 0.000 0.000 0.244
K2 0.000 0.000 0.756
Al1 0.500 0.500 0.000
Cd1 0.500 0.500 0.500

Magnetization ... 0.0 μB/cell
Space group ... P2/m, No. 10
Energy of formation from the pure elements ... 27 kJ/mol of atoms
Calculated density ... 2609 kg/m³
Excess energy over the best structure of this formula in the dataset ... 194 meV/atom

The following is a DFT calculation (GGA-PBE) of an optimized crystal structure of Sb2OsRu.

Cell: 6.673 6.673 6.673 Å, 90.00 90.00 90.00°
Atoms (fractional coordinates):
Sb1 0.000 0.000 0.000
Sb2 0.000 0.500 0.500
Sb3 0.250 0.250 0.250
Sb4 0.250 0.750 0.750
Sb5 0.500 0.000 0.500
Sb6 0.500 0.500 0.000
Sb7 0.750 0.250 0.750
Sb8 0.750 0.750 0.250
Os1 0.000 0.000 0.500
Os2 0.000 0.500 0.000
Os3 0.500 0.000 0.000
Os4 0.500 0.500 0.500
Ru1 0.250 0.250 0.750
Ru2 0.250 0.750 0.250
Ru3 0.750 0.250 0.250
Ru4 0.750 0.750 0.750

Magnetization ... 0.0 μB/cell
Raw formation energy ... 3.57 eV/f.u.
Space group ... F-43m, No. 216
Calculated density ... 11953 kg/m³
Excess energy over the best structure of this formula in the dataset ... 639 meV/atom